# 1
The following is a DFT calculation (PBEsol) of a relaxed KCr2InRu crystal.

- Energy relative to the elements: 2390 meV per atom
- DFT total energy: -22.82 eV/f.u.

a b c (Å): 4.808 4.808 4.553
angles (deg): 90.00 90.00 90.00
Space group P4/mmm (No. 123)
Unique sites:
K  0.000  0.000  0.000 x1
Cr  0.000  0.500  0.000 x2
In  0.500  0.500  0.500 x1
Ru  0.000  0.000  0.500 x1

# 2
The following is a DFT calculation (PBEsol) of a relaxed LaCr2In crystal.

- Energy relative to the elements: 406 meV per atom
- DFT total energy: -27.19 eV/f.u.

a b c (Å): 7.017 7.017 7.017
angles (deg): 90.00 90.00 90.00
Space group F-43m (No. 216)
Unique sites:
La  0.000  0.000  0.000 x4
Cr  0.000  0.000  0.500 x4
Cr  0.250  0.250  0.250 x4
In  0.250  0.250  0.750 x4

# 3
The following is a DFT calculation (PBEsol) of a relaxed La3CrIn crystal.

- Energy relative to the elements: 70 meV per atom
- DFT total energy: -28.91 eV/f.u.

a b c (Å): 5.186 5.186 5.186
angles (deg): 90.00 90.00 90.00
Space group Pm-3m (No. 221)
Unique sites:
La  0.000  0.000  0.500 x3
Cr  0.000  0.000  0.000 x1
In  0.500  0.500  0.500 x1

# 4
The following is a DFT calculation (PBEsol) of a relaxed LaCr2In crystal.

- Energy relative to the elements: 437 meV per atom
- DFT total energy: -27.06 eV/f.u.

a b c (Å): 3.141 4.902 10.290
angles (deg): 90.00 90.00 90.00
Space group Imm2 (No. 44)
Unique sites:
La  0.000  0.000  0.000 x2
Cr  0.000  0.000  0.461 x2
Cr  0.000  0.500  0.788 x2
In  0.000  0.500  0.212 x2

# 5
The following is a DFT calculation (PBEsol) of a relaxed La2CrIn crystal.

- Energy relative to the elements: 78 meV per atom
- DFT total energy: -23.61 eV/f.u.

a b c (Å): 3.863 3.863 7.302
angles (deg): 90.00 90.00 90.00
Space group P4/mmm (No. 123)
Unique sites:
La  0.000  0.000  0.235 x2
Cr  0.500  0.500  0.000 x1
In  0.500  0.500  0.500 x1

# 6
The following is a DFT calculation (PBEsol) of a relaxed LiCr4InS8 crystal.

- DFT total energy: -90.44 eV/f.u.
- Uncorrected formation energy: -9.45 eV/f.u.

a b c (Å): 6.9750 6.9750 18.0152
angles (deg): 90.00 90.00 120.00
Space group R3m (No. 160, hexagonal axes)
Unique sites:
Li  0.0000  0.0000  0.0000 x3
Cr  0.0000  0.0000  0.7404 x3
Cr  0.0074  0.5037  0.8695 x9
In  0.0000  0.0000  0.3630 x3
S  0.0000  0.0000  0.1324 x3
S  0.0000  0.0000  0.6094 x3
S  0.0102  0.5051  0.1278 x9
S  0.1711  0.3422  0.9397 x9

# 7
The following is a DFT calculation (PBEsol) of a relaxed MgCrIn crystal.

- Energy relative to the elements: 367 meV per atom
- DFT total energy: -13.84 eV/f.u.

a b c (Å): 4.6467 4.6467 3.0351
angles (deg): 90.00 90.00 120.00
Space group P3m1 (No. 156)
Unique sites:
Mg  0.0000  0.0000  0.0000 x1
Cr  0.3333  0.6667  0.3743 x1
In  0.6667  0.3333  0.6787 x1

# 8
The following is a DFT calculation (PBEsol) of a relaxed Mg2CrInPt crystal.

- Energy relative to the elements: 940 meV per atom
- DFT total energy: -18.92 eV/f.u.

a b c (Å): 5.094 5.094 4.939
angles (deg): 90.00 90.00 90.00
Space group P4/mmm (No. 123)
Unique sites:
Mg  0.000  0.500  0.000 x2
Cr  0.000  0.000  0.500 x1
In  0.500  0.500  0.000 x1
Pt  0.500  0.500  0.500 x1

# 9
The following is a DFT calculation (PBEsol) of a relaxed MgCrInS4 crystal.

- DFT total energy: -38.37 eV/f.u.
- Uncorrected formation energy: -5.89 eV/f.u.

a b c (Å): 7.249 7.383 10.558
angles (deg): 90.00 90.00 90.00
Space group Imma (No. 74)
Unique sites:
Mg  0.000  0.250  0.125 x4
Cr  0.250  0.250  0.750 x4
In  0.000  0.000  0.500 x4
S  0.000  0.032  0.748 x8
S  0.245  0.250  0.523 x8

# 10
The following is a DFT calculation (PBEsol) of a relaxed MgZnCrIn2 crystal.

- Energy relative to the elements: 716 meV per atom
- DFT total energy: -15.93 eV/f.u.

a b c (Å): 5.026 5.026 4.917
angles (deg): 90.00 90.00 90.00
Space group P4/mmm (No. 123)
Unique sites:
Mg  0.000  0.000  0.000 x1
Zn  0.000  0.000  0.500 x1
Cr  0.500  0.500  0.000 x1
In  0.000  0.500  0.500 x2

# 11
The following is a DFT calculation (PBEsol) of a relaxed Mn2CrIn crystal.

- Energy relative to the elements: 362 meV per atom
- DFT total energy: -31.30 eV/f.u.

a b c (Å): 3.742 3.742 8.082
angles (deg): 90.00 90.00 90.00
Space group I-4m2 (No. 119)
Unique sites:
Mn  0.000  0.000  0.000 x2
Mn  0.000  0.500  0.250 x2
Cr  0.000  0.000  0.500 x2
In  0.000  0.500  0.750 x2

# 12
The following is a DFT calculation (PBEsol) of a relaxed Mn2CrIn crystal.

- Energy relative to the elements: 362 meV per atom
- DFT total energy: -31.30 eV/f.u.

a b c (Å): 3.951 3.951 3.555
angles (deg): 90.00 90.00 90.00
Space group P4/mmm (No. 123)
Unique sites:
Mn  0.000  0.500  0.000 x2
Cr  0.000  0.000  0.500 x1
In  0.500  0.500  0.500 x1